SrHCl3 | PBE | optimized geometry

## Properties
Size of the total moment   0.00 μB per cell
Symmetry   No. 14
D(E_F)   0.000 states/eV/cell
Excess energy over the best structure of this formula in the dataset   0.03 eV/f.u.

a = 7.028 Å, b = 7.621 Å, c = 9.943 Å
α = 90.00°, β = 102.43°, γ = 90.00°
Element x y z (fractional)
Cl: 0.800 0.353 0.432
Cl: 0.200 0.647 0.568
Cl: 0.170 0.000 0.274
Cl: 0.808 0.372 0.079
Sr: 0.555 0.145 0.207
Cl: 0.330 0.500 0.226
Cl: 0.308 0.128 0.580
Cl: 0.700 0.853 0.068
H: 0.773 0.947 0.582
Sr: 0.445 0.855 0.793
Cl: 0.830 0.000 0.726
Cl: 0.670 0.500 0.774
Cl: 0.692 0.872 0.420
H: 0.727 0.447 0.918
H: 0.273 0.553 0.082
Sr: 0.055 0.355 0.707
Sr: 0.945 0.645 0.293
Cl: 0.300 0.147 0.932
H: 0.227 0.053 0.418
Cl: 0.192 0.628 0.921

***

Sr2HCl2 | PBE | optimized geometry

## Properties
Size of the total moment   0.00 μB per cell
Symmetry   No. 127
D(E_F)   3.321 states/eV/cell
Excess energy over the best structure of this formula in the dataset   0.00 eV/f.u.

a = 7.444 Å, b = 7.444 Å, c = 4.624 Å
α = 90.00°, β = 90.00°, γ = 90.00°
Element x y z (fractional)
Cl: 0.348 0.152 0.500
Cl: 0.848 0.348 0.500
Sr: 0.677 0.177 0.000
Cl: 0.152 0.652 0.500
Sr: 0.323 0.823 0.000
H: 0.000 0.000 0.000
Sr: 0.177 0.323 0.000
H: 0.500 0.500 0.000
Cl: 0.652 0.848 0.500
Sr: 0.823 0.677 0.000

***

SrHCl3 | PBE | optimized geometry

## Properties
Size of the total moment   0.00 μB per cell
Symmetry   No. 14
D(E_F)   0.000 states/eV/cell
Excess energy over the best structure of this formula in the dataset   0.00 eV/f.u.

a = 7.695 Å, b = 8.336 Å, c = 7.720 Å
α = 90.00°, β = 92.20°, γ = 90.00°
Element x y z (fractional)
Cl: 0.682 0.869 0.510
Cl: 0.987 0.004 0.775
Sr: 0.125 0.362 0.743
Cl: 0.513 0.504 0.725
H: 0.366 0.552 0.155
Cl: 0.013 0.996 0.225
Sr: 0.375 0.862 0.757
Cl: 0.146 0.660 0.536
Cl: 0.182 0.631 0.010
H: 0.866 0.948 0.655
Sr: 0.875 0.638 0.257
Cl: 0.354 0.160 0.964
Cl: 0.646 0.840 0.036
Cl: 0.318 0.131 0.490
H: 0.634 0.448 0.845
Sr: 0.625 0.138 0.243
Cl: 0.818 0.369 0.990
Cl: 0.487 0.496 0.275
Cl: 0.854 0.340 0.464
H: 0.134 0.052 0.345

***

SrTiHCl2 | PBE | optimized geometry

## Properties
Size of the total moment   2.71 μB per cell
Symmetry   No. 123
D(E_F)   2.821 states/eV/cell
Energy   -4.296 eV per atom

a = 5.068 Å, b = 3.820 Å, c = 5.068 Å
α = 90.00°, β = 90.00°, γ = 90.00°
Element x y z (fractional)
Cl: 0.500 0.000 0.000
H: 0.000 0.500 0.000
Cl: 0.000 0.000 0.500
Ti: 0.000 0.000 0.000
Sr: 0.500 0.500 0.500